## TlCuAs2 (PBE-GGA)

Data for an optimized crystal structure of TlCuAs2.

a = 3.561 Å, b = 3.875 Å, c = 6.682 Å
α = 90.00°, β = 90.00°, γ = 90.00°
Space group Pmm2 (No. 25)
Inequivalent atoms, fractional coordinates:
Tl: 0.000 0.000 0.000
Cu: 0.500 0.000 0.566
As: 0.000 0.500 0.617
As: 0.500 0.500 0.337

Calculated values
Excess energy over the best structure of this formula in the dataset (kJ/mol of atoms): 9.33
Formation enthalpy at 0 K (eV/atom): 0.126